Record 1
Ba6CaNb2IrCl2O12: optimized geometry, PBE.

```
Ba6CaNb2IrCl2O12
1.0
6.0658 0.0000 0.0000
-3.0329 5.2531 0.0000
0.0000 0.0000 15.4006
Ba Ca Nb Ir Cl O
6 1 2 1 2 12
direct
0.3333 0.6667 0.0659
0.3333 0.6667 0.3482
0.3333 0.6667 0.7984
0.6667 0.3333 0.2016
0.6667 0.3333 0.6518
0.6667 0.3333 0.9341
0.0000 0.0000 0.5000
0.0000 0.0000 0.1789
0.0000 0.0000 0.8211
0.0000 0.0000 0.0000
0.3333 0.6667 0.5677
0.6667 0.3333 0.4323
0.1550 0.3100 0.9176
0.1550 0.8450 0.9176
0.1605 0.3211 0.2381
0.1605 0.8395 0.2381
0.3100 0.1550 0.0824
0.3211 0.1605 0.7619
0.6789 0.8395 0.2381
0.6900 0.8450 0.9176
0.8395 0.1605 0.7619
0.8395 0.6789 0.7619
0.8450 0.1550 0.0824
0.8450 0.6900 0.0824
```

## Properties
Total energy, eV/atom: -6.736

=====

Record 2
BiSN2: optimized geometry, PBE.

```
BiSN2
1.0
3.5907 0.0000 0.0000
-1.7954 3.1097 0.0000
0.0000 0.0000 18.5542
Bi S N
3 3 6
direct
0.0000 0.0000 0.0000
0.3333 0.6667 0.6667
0.6667 0.3333 0.3333
0.0000 0.0000 0.5000
0.3333 0.6667 0.1667
0.6667 0.3333 0.8333
0.0000 0.0000 0.4085
0.0000 0.0000 0.5915
0.3333 0.6667 0.0752
0.3333 0.6667 0.2582
0.6667 0.3333 0.7418
0.6667 0.3333 0.9248
```

## Properties
Total energy, eV/atom: -5.195

=====

Record 3
CsBiI2: optimized geometry, PBE.

```
CsBiI2
1.0
8.8878 0.0000 0.0000
0.0000 8.8878 0.0000
0.0000 0.0000 8.8878
Cs Bi I
4 4 8
direct
0.0000 0.0000 0.0000
0.0000 0.5000 0.5000
0.5000 0.0000 0.5000
0.5000 0.5000 0.0000
0.0000 0.0000 0.5000
0.0000 0.5000 0.0000
0.5000 0.0000 0.0000
0.5000 0.5000 0.5000
0.2500 0.2500 0.2500
0.2500 0.2500 0.7500
0.2500 0.7500 0.2500
0.2500 0.7500 0.7500
0.7500 0.2500 0.2500
0.7500 0.2500 0.7500
0.7500 0.7500 0.2500
0.7500 0.7500 0.7500
```

## Properties
Total energy, eV/atom: -2.332

=====

Record 4
Th4Tl2Ir: optimized geometry, PBE.

```
Th4Tl2Ir
1.0
7.0255 0.0000 0.0000
0.0000 3.8492 0.0000
-2.0751 0.0000 8.3865
Th Tl Ir
4 2 1
direct
0.1460 0.0000 0.3442
0.2755 0.5000 0.9877
0.7245 0.5000 0.0123
0.8540 0.0000 0.6558
0.4053 0.5000 0.6494
0.5947 0.5000 0.3506
0.0000 0.0000 0.0000
```

## Properties
Formation enthalpy at 0 K, kcal/mol of atoms: -1.90
Total energy, eV/atom: -6.264

=====

Record 5
Sm3Cd4Ag2: optimized geometry, PBE.

```
Sm3Cd4Ag2
1.0
5.5135 -2.4976 0.0000
5.5135 2.4976 0.0000
-4.7480 0.0000 7.9563
Sm Cd Ag
3 4 2
direct
0.0000 0.0000 0.0000
0.3309 0.3309 0.3372
0.6691 0.6691 0.6628
0.0532 0.0532 0.3847
0.2823 0.2823 0.9462
0.7177 0.7177 0.0538
0.9468 0.9468 0.6153
0.3934 0.3934 0.7258
0.6066 0.6066 0.2742
```

## Properties
Formation enthalpy at 0 K, kcal/mol of atoms: -7.26
Total energy, eV/atom: -2.928

=====

Record 6
BaTlHg2: optimized geometry, PBE.

```
BaTlHg2
1.0
9.5267 0.0000 0.0000
0.0000 7.5743 0.0000
0.0000 0.0000 7.3302
Ba Tl Hg
4 4 8
direct
0.0091 0.2500 0.1882
0.4909 0.7500 0.6882
0.5091 0.2500 0.3118
0.9909 0.7500 0.8118
0.0650 0.7500 0.3039
0.4350 0.2500 0.8039
0.5650 0.7500 0.1961
0.9350 0.2500 0.6961
0.2171 0.0348 0.5434
0.2171 0.4652 0.5434
0.2829 0.5348 0.0434
0.2829 0.9652 0.0434
0.7171 0.0348 0.9566
0.7171 0.4652 0.9566
0.7829 0.5348 0.4566
0.7829 0.9652 0.4566
```

## Properties
Formation enthalpy at 0 K, kcal/mol of atoms: -7.64
Total energy, eV/atom: -1.555

=====

Record 7
Ho8Si3Te3P: optimized geometry, PBE.

```
Ho8Si3Te3P
1.0
4.1494 2.3957 6.9902
-4.1494 2.3957 6.9902
0.0000 -4.7913 6.9902
Ho Si Te P
8 3 3 1
direct
0.2395 0.2395 0.2395
0.2388 0.7382 0.7382
0.2618 0.2618 0.7612
0.2618 0.7612 0.2618
0.7382 0.2388 0.7382
0.7382 0.7382 0.2388
0.7612 0.2618 0.2618
0.7605 0.7605 0.7605
0.0000 0.0000 0.5000
0.0000 0.5000 0.0000
0.5000 0.0000 0.0000
0.0000 0.5000 0.5000
0.5000 0.0000 0.5000
0.5000 0.5000 0.0000
0.5000 0.5000 0.5000
```

## Properties
Total energy, eV/atom: -5.554

=====

Record 8
Ho5AgSb4: optimized geometry, PBE.

```
Ho5AgSb4
1.0
-4.8634 4.8634 3.0683
4.8634 -4.8634 3.0683
4.8634 4.8634 -3.0683
Ho Ag Sb
5 1 4
direct
0.0000 0.0000 0.0000
0.1918 0.6029 0.7974
0.3943 0.1918 0.5888
0.6029 0.8055 0.4112
0.8055 0.3943 0.2026
0.5000 0.5000 0.0000
0.0995 0.2972 0.3994
0.2972 0.8978 0.1977
0.7001 0.0995 0.8023
0.8978 0.7001 0.6006
```

## Properties
Total energy, eV/atom: -5.083